Here is a geometry-optimized Ba2AgH6Ru structure from the Alexandria database. Energies are from GGA-PBE.

The structure in CIF format:
```
data_Ba2AgH6Ru
_chemical_formula_sum 'Ba2 Ag1 H6 Ru1'
_cell_length_a 5.6402
_cell_length_b 5.6402
_cell_length_c 5.4227
_cell_angle_alpha 90.00
_cell_angle_beta 90.00
_cell_angle_gamma 120.00
_space_group_name_H-M_alt 'P 1'
_space_group_IT_number 1
_space_group_name_Hall 'P 1'
loop_
_atom_site_label
_atom_site_fract_x
_atom_site_fract_y
_atom_site_fract_z
_atom_site_occupancy
Ba1 0.3333 0.6667 0.2734 1
Ba2 0.6667 0.3333 0.7266 1
Ag1 0.0000 0.0000 0.0000 1
H1 0.1506 0.3011 0.6784 1
H2 0.1506 0.8494 0.6784 1
H3 0.3011 0.1506 0.3216 1
H4 0.6989 0.8494 0.6784 1
H5 0.8494 0.1506 0.3216 1
H6 0.8494 0.6989 0.3216 1
Ru1 0.0000 0.0000 0.5000 1
```

Properties
SG   P-3m1, No. 164


Here is a geometry-optimized K2BeHS2 structure from the Alexandria database. Energies are from GGA-PBE.

The structure in CIF format:
```
data_K2BeHS2
_chemical_formula_sum 'K4 Be2 H2 S4'
_cell_length_a 8.0403
_cell_length_b 8.0403
_cell_length_c 8.0403
_cell_angle_alpha 106.15
_cell_angle_beta 86.37
_cell_angle_gamma 141.74
_space_group_name_H-M_alt 'P 1'
_space_group_IT_number 1
_space_group_name_Hall 'P 1'
loop_
_atom_site_label
_atom_site_fract_x
_atom_site_fract_y
_atom_site_fract_z
_atom_site_occupancy
K1 0.1268 0.1890 0.3158 1
K2 0.3732 0.6890 0.0622 1
K3 0.6268 0.3110 0.9378 1
K4 0.8732 0.8110 0.6842 1
Be1 0.2500 0.7500 0.5000 1
Be2 0.7500 0.2500 0.5000 1
H1 0.2500 0.2500 0.0000 1
H2 0.7500 0.7500 0.0000 1
S1 0.1025 0.6186 0.7211 1
S2 0.3975 0.1186 0.5160 1
S3 0.6025 0.8814 0.4840 1
S4 0.8975 0.3814 0.2789 1
```

Properties
SG   Ibam, No. 72


Here is a geometry-optimized MoWI2 structure from the Alexandria database. Energies are from GGA-PBE.

The structure in CIF format:
```
data_MoWI2
_chemical_formula_sum 'Mo2 W2 I4'
_cell_length_a 7.2869
_cell_length_b 7.2869
_cell_length_c 7.2869
_cell_angle_alpha 129.76
_cell_angle_beta 129.76
_cell_angle_gamma 73.79
_space_group_name_H-M_alt 'P 1'
_space_group_IT_number 1
_space_group_name_Hall 'P 1'
loop_
_atom_site_label
_atom_site_fract_x
_atom_site_fract_y
_atom_site_fract_z
_atom_site_occupancy
Mo1 0.0000 0.0000 0.0000 1
Mo2 0.7500 0.2500 0.5000 1
W1 0.2500 0.7500 0.5000 1
W2 0.5000 0.5000 0.0000 1
I1 0.1268 0.6250 0.0018 1
I2 0.3750 0.3768 0.5018 1
I3 0.6232 0.1250 0.9982 1
I4 0.8750 0.8732 0.4982 1
```

Properties
Excess energy over the best structure of this formula in the dataset   1.43 eV per formula unit
Raw formation energy   1.74 eV/atom
SG   I-42d, No. 122


Q: Which final energy values were calculated for the entries above? A: -0.2902, -0.2601, -0.3663, in Ry/atom.
Q: Which magnetization values were calculated for the entries above? A: 0.6, 1.0, 0.7, in μB/f.u..